[1]
An optimized crystal structure of DyIn2HgTe4, computed with PBE.

Computed properties:
Density = 7.145 g/cm³
M_tot = 0.00 μB/f.u.
V = 32.05 A^3/atom
Uncorrected formation energy = -0.540 eV per atom
Total DFT energy (no corrections) = -27.27 eV/cell

```
DyIn2HgTe4
1.0
7.802 0.000 0.000
0.000 4.368 0.000
-2.744 0.000 7.522
Dy In Hg Te
1 2 1 4
direct
0.000 0.000 0.000
0.500 0.000 0.500
0.500 0.500 0.000
0.000 0.500 0.500
0.243 0.500 0.230
0.250 0.000 0.764
0.750 0.000 0.236
0.757 0.500 0.770
```


[2]
An optimized crystal structure of DyThInHg, computed with PBE.

Computed properties:
Density = 10.686 g/cm³
M_tot = 0.00 μB/f.u.
V = 27.58 A^3/atom
Total DFT energy (no corrections) = -65.49 eV/cell
Formation energy from the elements = -0.33 eV per atom

```
DyThInHg
1.0
7.613 0.000 0.000
0.000 7.613 0.000
0.000 0.000 7.613
Dy Th In Hg
4 4 4 4
direct
0.000 0.000 0.000
0.000 0.500 0.500
0.500 0.000 0.500
0.500 0.500 0.000
0.000 0.000 0.500
0.000 0.500 0.000
0.500 0.000 0.000
0.500 0.500 0.500
0.250 0.250 0.250
0.250 0.750 0.750
0.750 0.250 0.750
0.750 0.750 0.250
0.250 0.250 0.750
0.250 0.750 0.250
0.750 0.250 0.250
0.750 0.750 0.750
```


[3]
An optimized crystal structure of Dy4TlIn2Hg, computed with PBE.

Computed properties:
Density = 10.014 g/cm³
M_tot = 0.00 μB/f.u.
V = 26.63 A^3/atom
Total DFT energy (no corrections) = -30.01 eV/cell
Formation energy from the elements = -0.43 eV per atom

```
Dy4TlIn2Hg
1.0
2.661 1.537 8.681
-2.661 1.537 8.681
0.000 -3.073 8.681
Dy Tl In Hg
4 1 2 1
direct
0.124 0.124 0.124
0.374 0.374 0.374
0.626 0.626 0.626
0.876 0.876 0.876
0.500 0.500 0.500
0.250 0.250 0.250
0.750 0.750 0.750
0.000 0.000 0.000
```


[4]
An optimized crystal structure of DyTlInHg, computed with PBE.

Computed properties:
Density = 11.255 g/cm³
M_tot = 0.00 μB/f.u.
V = 25.17 A^3/atom
Total DFT energy (no corrections) = -11.25 eV/cell
Distance to the lowest polymorph of the same formula = 0 meV/atom
Formation energy from the elements = -0.31 eV per atom

```
DyTlInHg
1.0
4.624 0.000 0.000
0.000 4.628 0.000
0.000 0.000 4.703
Dy Tl In Hg
1 1 1 1
direct
0.000 0.000 0.000
0.500 0.500 0.000
0.500 0.000 0.500
0.000 0.500 0.500
```


[5]
An optimized crystal structure of DyTlInHg, computed with PBE.

Computed properties:
Density = 10.894 g/cm³
M_tot = 0.00 μB/f.u.
V = 26.00 A^3/atom
Total DFT energy (no corrections) = -43.05 eV/cell
Distance to the lowest polymorph of the same formula = 122 meV/atom
Formation energy from the elements = -0.19 eV per atom

```
DyTlInHg
1.0
7.465 0.000 0.000
0.000 7.465 0.000
0.000 0.000 7.465
Dy Tl In Hg
4 4 4 4
direct
0.000 0.000 0.000
0.000 0.500 0.500
0.500 0.000 0.500
0.500 0.500 0.000
0.250 0.250 0.750
0.250 0.750 0.250
0.750 0.250 0.250
0.750 0.750 0.750
0.000 0.000 0.500
0.000 0.500 0.000
0.500 0.000 0.000
0.500 0.500 0.500
0.250 0.250 0.250
0.250 0.750 0.750
0.750 0.250 0.750
0.750 0.750 0.250
```


[6]
An optimized crystal structure of DyTlIn2Hg6, computed with PBE.

Computed properties:
Density = 11.208 g/cm³
M_tot = 0.00 μB/f.u.
V = 26.67 A^3/atom
Total DFT energy (no corrections) = -30.45 eV/cell
Formation energy from the elements = -0.10 eV per atom

```
DyTlIn2Hg6
1.0
7.764 -4.650 0.000
7.764 4.650 0.000
-0.184 0.000 7.387
Dy Tl In Hg
2 2 4 12
direct
0.190 0.810 0.750
0.810 0.190 0.250
0.440 0.560 0.250
0.560 0.440 0.750
0.156 0.284 0.209
0.284 0.156 0.709
0.716 0.844 0.291
0.844 0.716 0.791
0.026 0.816 0.119
0.125 0.577 0.474
0.184 0.974 0.381
0.217 0.474 0.919
0.423 0.875 0.026
0.474 0.217 0.419
0.526 0.783 0.581
0.577 0.125 0.974
0.783 0.526 0.081
0.816 0.026 0.619
0.875 0.423 0.526
0.974 0.184 0.881
```


[7]
An optimized crystal structure of Dy2TmIn3Hg6, computed with PBE.

Computed properties:
Density = 9.418 g/cm³
M_tot = 0.00 μB/f.u.
V = 30.00 A^3/atom
Total DFT energy (no corrections) = -24.21 eV/cell
Formation energy from the elements = -0.04 eV per atom

```
Dy2TmIn3Hg6
1.0
4.209 0.000 0.000
0.000 4.209 0.000
0.000 0.000 20.323
Dy Tm In Hg
2 1 3 6
direct
0.000 0.000 0.216
0.000 0.000 0.784
0.000 0.000 0.500
0.500 0.500 0.000
0.500 0.500 0.279
0.500 0.500 0.721
0.000 0.500 0.389
0.000 0.500 0.611
0.500 0.000 0.389
0.500 0.000 0.611
0.500 0.500 0.137
0.500 0.500 0.863
```


[8]
An optimized crystal structure of DyY2In3Hg6, computed with PBE.

Computed properties:
Density = 8.638 g/cm³
M_tot = 0.00 μB/f.u.
V = 30.25 A^3/atom
Total DFT energy (no corrections) = -28.30 eV/cell
Formation energy from the elements = -0.06 eV per atom

```
DyY2In3Hg6
1.0
4.224 0.000 0.000
0.000 4.224 0.000
0.000 0.000 20.341
Dy Y In Hg
1 2 3 6
direct
0.000 0.000 0.000
0.000 0.000 0.284
0.000 0.000 0.716
0.500 0.500 0.222
0.500 0.500 0.500
0.500 0.500 0.778
0.000 0.500 0.113
0.000 0.500 0.887
0.500 0.000 0.113
0.500 0.000 0.887
0.500 0.500 0.364
0.500 0.500 0.636
```


[9]
An optimized crystal structure of DyZrInHg, computed with PBE.

Computed properties:
Density = 9.862 g/cm³
M_tot = 0.00 μB/f.u.
V = 23.96 A^3/atom
Total DFT energy (no corrections) = -69.28 eV/cell
Formation energy from the elements = -0.28 eV per atom

```
DyZrInHg
1.0
7.264 0.000 0.000
0.000 7.264 0.000
0.000 0.000 7.264
Dy Zr In Hg
4 4 4 4
direct
0.000 0.000 0.000
0.000 0.500 0.500
0.500 0.000 0.500
0.500 0.500 0.000
0.000 0.000 0.500
0.000 0.500 0.000
0.500 0.000 0.000
0.500 0.500 0.500
0.250 0.250 0.750
0.250 0.750 0.250
0.750 0.250 0.250
0.750 0.750 0.750
0.250 0.250 0.250
0.250 0.750 0.750
0.750 0.250 0.750
0.750 0.750 0.250
```


[10]
An optimized crystal structure of Dy6Hg3Ir, computed with PBE.

Computed properties:
Density = 10.155 g/cm³
M_tot = 0.00 μB/f.u.
V = 28.93 A^3/atom
Total DFT energy (no corrections) = -82.10 eV/cell
Distance to the lowest polymorph of the same formula = 93 meV/atom
Formation energy from the elements = -0.37 eV per atom

```
Dy6Hg3Ir
1.0
6.057 3.497 4.552
-6.057 3.497 4.552
0.000 -6.994 4.552
Dy Hg Ir
12 6 2
direct
0.042 0.917 0.689
0.083 0.311 0.958
0.189 0.417 0.542
0.311 0.958 0.083
0.417 0.542 0.189
0.458 0.811 0.583
0.542 0.189 0.417
0.583 0.458 0.811
0.689 0.042 0.917
0.811 0.583 0.458
0.917 0.689 0.042
0.958 0.083 0.311
0.144 0.750 0.356
0.250 0.644 0.856
0.356 0.144 0.750
0.644 0.856 0.250
0.750 0.356 0.144
0.856 0.250 0.644
0.000 0.000 0.000
0.500 0.500 0.500
```


[11]
An optimized crystal structure of Dy8Hg2Ir, computed with PBE.

Computed properties:
Density = 10.378 g/cm³
M_tot = 0.00 μB/f.u.
V = 27.54 A^3/atom
Total DFT energy (no corrections) = -50.18 eV/cell
Distance to the lowest polymorph of the same formula = 0 meV/atom
Formation energy from the elements = -0.35 eV per atom

```
Dy8Hg2Ir
1.0
8.896 -2.598 0.000
8.896 2.598 0.000
-1.945 0.000 6.555
Dy Hg Ir
8 2 1
direct
0.023 0.023 0.285
0.201 0.201 0.811
0.346 0.346 0.537
0.412 0.412 0.070
0.588 0.588 0.930
0.654 0.654 0.463
0.799 0.799 0.189
0.977 0.977 0.715
0.186 0.186 0.228
0.814 0.814 0.772
0.500 0.500 0.500
```


[12]
An optimized crystal structure of Dy2Hg2Ir, computed with PBE.

Computed properties:
Density = 13.185 g/cm³
M_tot = 0.00 μB/f.u.
V = 23.13 A^3/atom
Total DFT energy (no corrections) = -42.96 eV/cell
Formation energy from the elements = -0.56 eV per atom

```
Dy2Hg2Ir
1.0
3.457 0.000 0.000
0.000 3.457 0.000
0.000 0.000 19.359
Dy Hg Ir
4 4 2
direct
0.000 0.000 0.086
0.000 0.000 0.914
0.500 0.500 0.414
0.500 0.500 0.586
0.000 0.000 0.302
0.000 0.000 0.698
0.500 0.500 0.198
0.500 0.500 0.802
0.000 0.000 0.500
0.500 0.500 0.000
```


[13]
An optimized crystal structure of Dy4HgIr2, computed with PBE.

Computed properties:
Density = 11.944 g/cm³
M_tot = 0.00 μB/f.u.
V = 24.53 A^3/atom
Total DFT energy (no corrections) = -81.82 eV/cell
Formation energy from the elements = -0.64 eV per atom

```
Dy4HgIr2
1.0
0.000 6.812 4.381
5.753 0.000 4.381
5.753 6.812 0.000
Dy Hg Ir
8 2 4
direct
0.040 0.960 0.171
0.079 0.421 0.210
0.163 0.531 0.748
0.421 0.079 0.290
0.502 0.692 0.087
0.531 0.163 0.558
0.692 0.502 0.719
0.960 0.040 0.829
0.655 0.655 0.345
0.905 0.905 0.595
0.172 0.409 0.473
0.304 0.777 0.841
0.409 0.172 0.946
0.777 0.304 0.078
```


[14]
An optimized crystal structure of Dy6Hg2Ir, computed with PBE.

Computed properties:
Density = 10.797 g/cm³
M_tot = 0.00 μB/f.u.
V = 26.80 A^3/atom
Total DFT energy (no corrections) = -80.91 eV/cell
Distance to the lowest polymorph of the same formula = 12 meV/atom
Formation energy from the elements = -0.38 eV per atom

```
Dy6Hg2Ir
1.0
-4.796 4.936 5.095
4.796 -4.936 5.095
4.796 4.936 -5.095
Dy Hg Ir
12 4 2
direct
0.078 0.248 0.831
0.183 0.267 0.449
0.183 0.733 0.916
0.266 0.597 0.331
0.266 0.935 0.669
0.417 0.248 0.169
0.583 0.752 0.831
0.734 0.065 0.331
0.734 0.403 0.669
0.817 0.267 0.084
0.817 0.733 0.551
0.922 0.752 0.169
0.354 0.000 0.354
0.500 0.354 0.854
0.500 0.646 0.146
0.646 0.000 0.646
0.000 0.000 0.000
0.000 0.500 0.500
```


[15]
An optimized crystal structure of Dy4Hg3Ir, computed with PBE.

Computed properties:
Density = 12.344 g/cm³
M_tot = 0.00 μB/f.u.
V = 24.28 A^3/atom
Total DFT energy (no corrections) = -32.83 eV/cell
Formation energy from the elements = -0.58 eV per atom

```
Dy4Hg3Ir
1.0
3.595 0.000 0.000
0.000 3.595 0.000
0.000 0.000 15.034
Dy Hg Ir
4 3 1
direct
0.000 0.000 0.107
0.000 0.000 0.371
0.000 0.000 0.629
0.000 0.000 0.893
0.500 0.500 0.245
0.500 0.500 0.500
0.500 0.500 0.755
0.500 0.500 0.000
```


[16]
An optimized crystal structure of Dy12Hg6Ir, computed with PBE.

Computed properties:
Density = 10.048 g/cm³
M_tot = 0.00 μB/f.u.
V = 29.10 A^3/atom
Total DFT energy (no corrections) = -71.44 eV/cell
Formation energy from the elements = -0.29 eV per atom

```
Dy12Hg6Ir
1.0
6.004 3.466 4.428
-6.004 3.466 4.428
0.000 -6.933 4.428
Dy Hg Ir
12 6 1
direct
0.044 0.927 0.703
0.073 0.297 0.956
0.185 0.405 0.536
0.297 0.956 0.073
0.405 0.536 0.185
0.464 0.815 0.595
0.536 0.185 0.405
0.595 0.464 0.815
0.703 0.044 0.927
0.815 0.595 0.464
0.927 0.703 0.044
0.956 0.073 0.297
0.148 0.766 0.362
0.234 0.638 0.852
0.362 0.148 0.766
0.638 0.852 0.234
0.766 0.362 0.148
0.852 0.234 0.638
0.500 0.500 0.500
```


[17]
An optimized crystal structure of Dy2HgIr, computed with PBE.

Computed properties:
Density = 12.951 g/cm³
M_tot = 0.00 μB/f.u.
V = 23.01 A^3/atom
Total DFT energy (no corrections) = -21.15 eV/cell
Distance to the lowest polymorph of the same formula = 0 meV/atom
Formation energy from the elements = -0.70 eV per atom

```
Dy2HgIr
1.0
3.510 0.000 0.000
0.000 3.510 0.000
0.000 0.000 7.471
Dy Hg Ir
2 1 1
direct
0.000 0.000 0.219
0.000 0.000 0.781
0.500 0.500 0.500
0.500 0.500 0.000
```


[18]
An optimized crystal structure of Dy5HgIr2, computed with PBE.

Computed properties:
Density = 11.497 g/cm³
M_tot = 0.00 μB/f.u.
V = 25.23 A^3/atom
Total DFT energy (no corrections) = -93.15 eV/cell
Formation energy from the elements = -0.69 eV per atom

```
Dy5HgIr2
1.0
-3.877 3.877 6.713
3.877 -3.877 6.713
3.877 3.877 -6.713
Dy Hg Ir
10 2 4
direct
0.000 0.000 0.000
0.026 0.526 0.821
0.205 0.026 0.500
0.295 0.795 0.821
0.474 0.295 0.500
0.500 0.500 0.000
0.526 0.705 0.500
0.705 0.205 0.179
0.795 0.974 0.500
0.974 0.474 0.179
0.250 0.250 0.000
0.750 0.750 0.000
0.141 0.359 0.500
0.359 0.859 0.219
0.641 0.141 0.781
0.859 0.641 0.500
```


[19]
An optimized crystal structure of Dy6HgIr2, computed with PBE.

Computed properties:
Density = 11.113 g/cm³
M_tot = 0.00 μB/f.u.
V = 25.90 A^3/atom
Total DFT energy (no corrections) = -101.86 eV/cell
Formation energy from the elements = -0.59 eV per atom

```
Dy6HgIr2
1.0
-4.671 4.791 5.207
4.671 -4.791 5.207
4.671 4.791 -5.207
Dy Hg Ir
12 2 4
direct
0.038 0.240 0.799
0.180 0.284 0.464
0.180 0.716 0.896
0.331 0.023 0.692
0.331 0.639 0.308
0.441 0.240 0.201
0.559 0.760 0.799
0.669 0.361 0.692
0.669 0.977 0.308
0.820 0.284 0.104
0.820 0.716 0.536
0.962 0.760 0.201
0.000 0.000 0.000
0.500 0.500 0.000
0.131 0.631 0.500
0.334 0.000 0.334
0.666 0.000 0.666
0.869 0.369 0.500
```


[20]
An optimized crystal structure of Dy8Hg2Ir, computed with PBE.

Computed properties:
Density = 10.573 g/cm³
M_tot = 0.00 μB/f.u.
V = 27.03 A^3/atom
Total DFT energy (no corrections) = -48.74 eV/cell
Distance to the lowest polymorph of the same formula = 132 meV/atom
Formation energy from the elements = -0.22 eV per atom

```
Dy8Hg2Ir
1.0
-2.526 4.157 7.081
2.526 -4.157 7.081
2.526 4.157 -7.081
Dy Hg Ir
8 2 1
direct
0.118 0.349 0.769
0.122 0.122 0.000
0.325 0.000 0.325
0.419 0.651 0.769
0.581 0.349 0.231
0.675 0.000 0.675
0.878 0.878 0.000
0.882 0.651 0.231
0.301 0.801 0.500
0.699 0.199 0.500
0.000 0.500 0.500
```


[21]
An optimized crystal structure of Dy8Hg2Ir3, computed with PBE.

Computed properties:
Density = 10.890 g/cm³
M_tot = 0.00 μB/f.u.
V = 26.72 A^3/atom
Total DFT energy (no corrections) = -70.92 eV/cell
Formation energy from the elements = -0.53 eV per atom

```
Dy8Hg2Ir3
1.0
4.951 -7.118 0.000
4.951 7.118 0.000
0.000 0.000 4.928
Dy Hg Ir
8 2 3
direct
0.114 0.886 0.000
0.139 0.368 0.500
0.368 0.139 0.500
0.384 0.616 0.000
0.616 0.384 0.000
0.632 0.861 0.500
0.861 0.632 0.500
0.886 0.114 0.000
0.243 0.757 0.500
0.757 0.243 0.500
0.246 0.246 0.000
0.500 0.500 0.500
0.754 0.754 0.000
```